[1]
CaSb2Pd, relaxed, DFT PBE; SG = R-3m (166); formation energy (no corrections) = -0.21 eV per atom; final energy = -4.075 eV per atom; spin magnetization = 0.00 μB per atom
1.0
2.1117 1.2192 8.5961
-2.1117 1.2192 8.5961
0.0000 -2.4384 8.5961
Ca Sb Pd
1 2 1
Direct
0.0000 0.0000 0.0000
0.1222 0.1222 0.1222
0.8778 0.8778 0.8778
0.5000 0.5000 0.5000

[2]
AsPt2Br, relaxed, DFT PBE; SG = F-43m (216); formation energy (no corrections) = 0.61 eV per atom; final energy = -3.993 eV per atom; ΔE to the lowest computed polymorph = 74.6 kJ/mol of atoms; spin magnetization = 0.00 μB per atom
1.0
0.0000 3.3174 3.3174
3.3174 0.0000 3.3174
3.3174 3.3174 0.0000
As Pt Br
1 2 1
Direct
0.0000 0.0000 0.0000
0.2500 0.2500 0.2500
0.5000 0.5000 0.5000
0.7500 0.7500 0.7500

[3]
AcCePmBi, relaxed, DFT PBE; SG = F-43m (216); calculated formation energy = -0.1506 eV/atom; final energy = -4.819 eV per atom; spin magnetization = 0.35 μB per atom
1.0
0.0000 4.0286 4.0286
4.0286 0.0000 4.0286
4.0286 4.0286 0.0000
Ac Ce Pm Bi
1 1 1 1
Direct
0.0000 0.0000 0.0000
0.7500 0.7500 0.7500
0.2500 0.2500 0.2500
0.5000 0.5000 0.5000